Entry from Alexandria: an optimized crystal structure of KGeRu2 (PBE).

a = 4.8071 Å, b = 4.8071 Å, c = 17.3746 Å
α = 90.00°, β = 90.00°, γ = 90.00°
Space group I-42d (No. 122)
Unique sites:
K: 0.0000 0.0000 0.0000
Ge: 0.0000 0.0000 0.5000
Ru: 0.0225 0.2500 0.6250

Values from the calculation:
- energy of formation (kcal/mol of atoms) = 16.81
- calculated volume (Å³/cell) = 402

Entry from Alexandria: an optimized crystal structure of ErMgCo2H8 (PBE).

a = 4.5548 Å, b = 4.5548 Å, c = 15.3501 Å
α = 90.00°, β = 90.00°, γ = 120.00°
Space group R-3 (No. 148, hexagonal axes)
Unique sites:
Er: 0.0000 0.0000 0.0000
Mg: 0.0000 0.0000 0.5000
Co: 0.0000 0.0000 0.1979
H: 0.0000 0.0000 0.3047
H: 0.0322 0.7496 0.8829

Values from the calculation:
- calculated total energy (eV per atom) = -4.1258
- calculated volume (Å³/cell) = 276

Entry from Alexandria: an optimized crystal structure of PrY5Er2Th (PBE).

a = 5.7624 Å, b = 21.3284 Å, c = 9.7603 Å
α = 90.00°, β = 90.00°, γ = 90.00°
Space group Cmc2_1 (No. 36)
Unique sites:
Pr: 0.0000 0.0960 0.0000
Y: 0.0000 0.0281 0.3196
Y: 0.0000 0.1110 0.6130
Y: 0.0000 0.1958 0.2897
Y: 0.0000 0.2337 0.9141
Y: 0.0000 0.4868 0.5926
Er: 0.0000 0.3682 0.2862
Er: 0.0000 0.3878 0.8994
Th: 0.0000 0.3100 0.6012

Values from the calculation:
- energy of formation (kcal/mol of atoms) = 3.79
- calculated volume (Å³/cell) = 1200

Entry from Alexandria: an optimized crystal structure of Y2TaAs (PBE).

a = 3.4633 Å, b = 3.4633 Å, c = 8.0835 Å
α = 90.00°, β = 90.00°, γ = 90.00°
Space group P4mm (No. 99)
Unique sites:
Y: 0.0000 0.0000 0.0000
Y: 0.5000 0.5000 0.3646
Ta: 0.5000 0.5000 0.7423
As: 0.0000 0.0000 0.6017

Values from the calculation:
- energy of formation (kcal/mol of atoms) = -6.76
- calculated volume (Å³/cell) = 97

Entry from Alexandria: an optimized crystal structure of CdTeAu4 (PBE).

a = 7.9569 Å, b = 7.9569 Å, c = 7.9569 Å
α = 90.00°, β = 90.00°, γ = 90.00°
Space group F-43m (No. 216)
Unique sites:
Cd: 0.0000 0.0000 0.0000
Te: 0.2500 0.2500 0.7500
Au: 0.1253 0.1253 0.3747

Values from the calculation:
- calculated total energy (eV per atom) = -2.8428
- calculated volume (Å³/cell) = 504

Entry from Alexandria: an optimized crystal structure of Pr5TlHg4 (PBE).

a = 3.8670 Å, b = 3.8670 Å, c = 19.5558 Å
α = 90.00°, β = 90.00°, γ = 90.00°
Space group P4/mmm (No. 123)
Unique sites:
Pr: 0.0000 0.0000 0.0000
Pr: 0.0000 0.0000 0.1975
Pr: 0.0000 0.0000 0.3948
Tl: 0.5000 0.5000 0.5000
Hg: 0.5000 0.5000 0.0993
Hg: 0.5000 0.5000 0.2966

Values from the calculation:
- energy of formation (kcal/mol of atoms) = -10.45
- calculated volume (Å³/cell) = 292